<i>
Below is an optimized crystal structure of KBa2CaAg, with properties calculated at the PBE level.

The calculation puts the volume at 268 Å³/cell. Its density of states at the Fermi level is 4.5 states/eV per cell.

The space group is P4/mmm (No. 123) and the conventional cell measures 6.639, 6.639 and 6.089 Å, with angles of 90.00, 90.00 and 90.00 degrees. Symmetry generates all atoms from K at (0.000, 0.000, 0.000), Ba at (0.000, 0.500, 0.500), Ca at (0.500, 0.500, 0.000) and Ag at (0.500, 0.500, 0.500).



<ii>
Below is an optimized crystal structure of KBa2CaAg, with properties calculated at the PBE level.

The calculation puts the volume at 276 Å³/cell. Its density of states at the Fermi level is 4.5 states/eV per cell.

The space group is P4/mmm (No. 123) and the conventional cell measures 6.547, 6.547 and 6.436 Å, with angles of 90.00, 90.00 and 90.00 degrees. Symmetry generates all atoms from K at (0.000, 0.000, 0.000), Ba at (0.000, 0.500, 0.500), Ca at (0.500, 0.500, 0.000) and Ag at (0.000, 0.000, 0.500).



Most stable: <i>. Least stable: <ii>.



<i>
Below is an optimized crystal structure of BaLiCaAg, with properties calculated at the PBE level.

The calculation puts the volume at 522 Å³/cell. Its density of states at the Fermi level is 14.3 states/eV per cell.

The space group is F-43m (No. 216) and the conventional cell measures 8.050, 8.050 and 8.050 Å, with angles of 90.00, 90.00 and 90.00 degrees. Symmetry generates all atoms from Ba at (0.000, 0.000, 0.000), Li at (0.250, 0.250, 0.250), Ca at (0.000, 0.000, 0.500) and Ag at (0.250, 0.250, 0.750).



<ii>
Below is an optimized crystal structure of BaLiCaAg, with properties calculated at the PBE level.

The calculation puts the volume at 275 Å³/cell. Its density of states at the Fermi level is 5.8 states/eV per cell.

The space group is Amm2 (No. 38) and the conventional cell measures 4.689, 4.559 and 12.884 Å, with angles of 90.00, 90.00 and 90.00 degrees. Symmetry generates all atoms from Ba at (0.000, 0.000, 0.000), Li at (0.000, 0.000, 0.715), Ca at (0.500, 0.000, 0.282) and Ag at (0.500, 0.000, 0.602).



Most stable: <ii>. Least stable: <i>.



<i>
Below is an optimized crystal structure of BaLiCa2Ag, with properties calculated at the PBE level.

The calculation puts the volume at 220 Å³/cell. Its density of states at the Fermi level is 2.7 states/eV per cell.

The space group is P4/mmm (No. 123) and the conventional cell measures 5.871, 5.871 and 6.378 Å, with angles of 90.00, 90.00 and 90.00 degrees. Symmetry generates all atoms from Ba at (0.000, 0.000, 0.000), Li at (0.500, 0.500, 0.000), Ca at (0.000, 0.500, 0.500) and Ag at (0.000, 0.000, 0.500).



<ii>
Below is an optimized crystal structure of BaLiCa2Ag, with properties calculated at the PBE level.

The calculation puts the volume at 190 Å³/cell. Its density of states at the Fermi level is 5.6 states/eV per cell.

The space group is P4/mmm (No. 123) and the conventional cell measures 5.892, 5.892 and 5.483 Å, with angles of 90.00, 90.00 and 90.00 degrees. Symmetry generates all atoms from Ba at (0.000, 0.000, 0.000), Li at (0.500, 0.500, 0.000), Ca at (0.000, 0.500, 0.500) and Ag at (0.500, 0.500, 0.500).



Most stable: <ii>. Least stable: <i>.